Entry 1:
Compound: Na3BiSb
Source: the Alexandria database
Functional: PBE
Structure: optimized geometry

**Formation energy (no corrections)**: -310.3 meV/atom
**Magnetic moment**: 0.00 μB per formula unit
**Polymorph energy (0 for the lowest one)**: 6 meV/atom
**DOS(E_F)**: 1.7 states/eV/cell

Unit cell a=6.590 b=11.423 c=5.110 alpha=102.82 beta=89.95 gamma=54.77
Sites, in units of the cell vectors:
Na: 0.197 0.554 0.778
Bi: 0.242 0.007 0.003
Na: 0.688 0.804 0.401
Sb: 0.586 0.665 0.832
Na: 0.312 0.196 0.599
Na: 0.803 0.446 0.222
Sb: 0.414 0.335 0.168
Bi: 0.758 0.993 0.997
Na: 0.206 0.803 0.401
Na: 0.794 0.197 0.599

***

Entry 2:
Compound: Na3BiSb
Source: the Alexandria database
Functional: PBE
Structure: optimized geometry

**Formation energy (no corrections)**: 199.2 meV/atom
**Magnetic moment**: 2.90 μB per formula unit
**Polymorph energy (0 for the lowest one)**: 516 meV/atom
**DOS(E_F)**: 2.6 states/eV/cell

Unit cell a=5.967 b=5.967 c=5.967 alpha=90.00 beta=90.00 gamma=90.00
Last column: magnetic moment on the atom in μB.
Sites, in units of the cell vectors:
Na: 0.500 0.000 0.000  0.01
Bi: 0.000 0.000 0.000  0.47
Na: 0.000 0.500 0.000  0.01
Na: 0.000 0.000 0.500  0.01
Sb: 0.500 0.500 0.500  0.76

***

Entry 3:
Compound: NaBi3Sb
Source: the Alexandria database
Functional: PBE
Structure: optimized geometry

**Formation energy (no corrections)**: 706.0 meV/atom
**Magnetic moment**: 0.00 μB per formula unit
**Polymorph energy (0 for the lowest one)**: 709 meV/atom
**DOS(E_F)**: 4.8 states/eV/cell

Unit cell a=5.512 b=5.512 c=5.512 alpha=90.00 beta=90.00 gamma=90.00
Sites, in units of the cell vectors:
Sb: 0.500 0.500 0.500
Bi: 0.000 0.500 0.000
Bi: 0.500 0.000 0.000
Na: 0.000 0.000 0.000
Bi: 0.000 0.000 0.500

***

Entry 4:
Compound: NaBi3Sb
Source: the Alexandria database
Functional: PBE
Structure: optimized geometry

**Formation energy (no corrections)**: 443.5 meV/atom
**Magnetic moment**: 0.00 μB per formula unit
**Polymorph energy (0 for the lowest one)**: 446 meV/atom
**DOS(E_F)**: 6.4 states/eV/cell

Unit cell a=5.941 b=5.941 c=5.941 alpha=90.00 beta=90.00 gamma=90.00
Sites, in units of the cell vectors:
Na: 0.500 0.500 0.500
Bi: 0.000 0.000 0.500
Bi: 0.000 0.500 0.000
Sb: 0.000 0.000 0.000
Bi: 0.500 0.000 0.000

***

Entry 5:
Compound: Na6BiSb2
Source: the Alexandria database
Functional: PBE
Structure: optimized geometry

**Formation energy (no corrections)**: -314.1 meV/atom
**Magnetic moment**: 0.00 μB per formula unit
**Polymorph energy (0 for the lowest one)**: 0 meV/atom
**DOS(E_F)**: 8.4 states/eV/cell

Unit cell a=3.567 b=9.170 c=9.170 alpha=119.99 beta=90.00 gamma=90.00
Sites, in units of the cell vectors:
Sb: 0.500 0.333 0.667
Na: 0.779 0.662 0.000
Na: 0.781 0.338 0.338
Bi: 0.000 0.000 0.000
Na: 0.221 0.338 0.000
Na: 0.219 0.662 0.662
Na: 0.780 0.000 0.662
Sb: 0.500 0.667 0.333
Na: 0.220 0.000 0.338

***

Entry 6:
Compound: Na3BiSb2
Source: the Alexandria database
Functional: PBE
Structure: optimized geometry

**Formation energy (no corrections)**: -246.9 meV/atom
**Magnetic moment**: 0.00 μB per formula unit
**DOS(E_F)**: 5.7 states/eV/cell

Unit cell a=11.257 b=6.968 c=9.698 alpha=90.00 beta=116.05 gamma=90.00
Sites, in units of the cell vectors:
Bi: 0.417 0.339 0.585
Na: 0.905 0.647 0.076
Sb: 0.244 0.640 0.750
Na: 0.411 0.399 0.083
Na: 0.911 0.101 0.583
Sb: 0.238 0.655 0.235
Na: 0.404 0.901 0.079
Na: 0.595 0.147 0.424
Bi: 0.917 0.161 0.085
Na: 0.596 0.099 0.921
Bi: 0.583 0.661 0.415
Sb: 0.744 0.860 0.250
Na: 0.904 0.599 0.579
Sb: 0.756 0.360 0.250
Na: 0.096 0.401 0.421
Na: 0.589 0.601 0.917
Sb: 0.256 0.140 0.750
Na: 0.405 0.853 0.576
Sb: 0.738 0.845 0.735
Sb: 0.762 0.345 0.765
Bi: 0.083 0.839 0.915
Sb: 0.262 0.155 0.265
Na: 0.089 0.899 0.417
Na: 0.095 0.353 0.924

***

Entry 7:
Compound: Na2BiSb
Source: the Alexandria database
Functional: PBE
Structure: optimized geometry

**Formation energy (no corrections)**: -307.3 meV/atom
**Magnetic moment**: 0.00 μB per formula unit
**Polymorph energy (0 for the lowest one)**: 0 meV/atom
**DOS(E_F)**: 1.4 states/eV/cell

Unit cell a=4.928 b=4.742 c=4.742 alpha=90.00 beta=90.00 gamma=90.00
Sites, in units of the cell vectors:
Na: 0.000 0.000 0.500
Bi: 0.500 0.000 0.000
Na: 0.000 0.500 0.000
Sb: 0.500 0.500 0.500

***

Entry 8:
Compound: NaBi2Sb
Source: the Alexandria database
Functional: PBE
Structure: optimized geometry

**Formation energy (no corrections)**: 108.9 meV/atom
**Magnetic moment**: 0.00 μB per formula unit
**DOS(E_F)**: 0.0 states/eV/cell

Unit cell a=7.687 b=7.687 c=7.882 alpha=60.81 beta=60.81 gamma=90.00
Sites, in units of the cell vectors:
Sb: 0.000 0.000 0.000
Na: 0.250 0.750 0.500
Bi: 0.875 0.906 0.750
Bi: 0.375 0.344 0.750
Bi: 0.094 0.625 0.250
Sb: 0.750 0.250 0.500
Na: 0.500 0.500 0.000
Bi: 0.656 0.125 0.250